# PBE with a Hubbard U TaCo2O2, relaxed
data_TaCo2O2
_chemical_formula_sum 'Ta2 Co4 O4'
_cell_length_a 5.5039
_cell_length_b 5.5039
_cell_length_c 3.9925
_cell_angle_alpha 90.00
_cell_angle_beta 90.00
_cell_angle_gamma 90.00
_space_group_name_H-M_alt 'P 4/m b m'
_space_group_IT_number 127
_space_group_name_Hall '-P 4 2ab'
loop_
_atom_site_label
_atom_site_type_symbol
_atom_site_fract_x
_atom_site_fract_y
_atom_site_fract_z
_atom_site_occupancy
Ta1 Ta 0.0000 0.0000 0.0000 1
Co1 Co 0.1780 0.3220 0.5000 1
O1 O 0.1835 0.3165 0.0000 1
# D(E_F): 3.269 states/eV/cell
# Distance to the lowest polymorph of the same formula: 0.0 kJ/mol of formula units
# Raw total energy: -7.339 eV/atom